Record 1
A plane-wave DFT calculation with GGA-PBE was carried out for crystalline NaSm3Ti2Sb2O14 at its relaxed geometry.

Cell lengths 7.3858, 7.3483, 12.7304 Å; angles 90.00, 125.11, 90.00 degrees
With the nearest neighbours (Å) after each atom.
Fractional coordinates of all 44 atoms:
Na1 0.0000 0.0000 0.0000  2 O 2.31
Na2 0.0000 0.0000 0.5000  2 O 2.31
Sm1 0.0000 0.2433 0.2500  4 O 2.24-2.51
Sm2 0.0000 0.5000 0.0000  2 O 2.24
Sm3 0.0000 0.5000 0.5000  2 O 2.24
Sm4 0.0000 0.7567 0.7500  4 O 2.24-2.51
Sm5 0.5000 0.2268 0.2500  4 O 2.24-2.44
Sm6 0.5000 0.7732 0.7500  4 O 2.24-2.44
Ti1 0.5000 0.2634 0.7500  6 O 1.94-2.03
Ti2 0.5000 0.5000 0.0000  6 O 1.95-2.00
Ti3 0.5000 0.5000 0.5000  6 O 1.95-2.00
Ti4 0.5000 0.7366 0.2500  6 O 1.94-2.03
Sb1 0.0000 0.2551 0.7500  6 O 1.99-2.02
Sb2 0.0000 0.7449 0.2500  6 O 1.99-2.02
Sb3 0.5000 0.0000 0.0000  6 O 1.99-2.03
Sb4 0.5000 0.0000 0.5000  6 O 1.99-2.03
O1 0.1309 0.2557 0.1291  3 Sm 2.24, 1 Na 2.31
O2 0.1309 0.7443 0.6291  3 Sm 2.24, 1 Na 2.31
O3 0.1713 0.0468 0.8716  2 Sb 2.02-2.03
O4 0.1713 0.9532 0.3716  2 Sb 2.02-2.03
O5 0.1768 0.4551 0.8772  1 Ti 1.99, 1 Sb 2.01
O6 0.1768 0.5449 0.3772  1 Ti 1.99, 1 Sb 2.01
O7 0.1794 0.2693 0.6791  1 Sb 1.99, 1 Ti 1.99
O8 0.1794 0.7307 0.1791  1 Sb 1.99, 1 Ti 1.99
O9 0.4237 0.2501 0.4231  1 Ti 2.00, 1 Sb 2.01
O10 0.4237 0.7499 0.9231  1 Ti 2.00, 1 Sb 2.01
O11 0.4266 0.4469 0.6219  2 Ti 1.94-1.95
O12 0.4266 0.5531 0.1219  2 Ti 1.94-1.95
O13 0.4433 0.0533 0.6316  1 Sb 1.99, 1 Ti 2.03
O14 0.4433 0.9467 0.1316  1 Sb 1.99, 1 Ti 2.03
O15 0.5567 0.0533 0.8684  1 Sb 1.99, 1 Ti 2.03
O16 0.5567 0.9467 0.3684  1 Sb 1.99, 1 Ti 2.03
O17 0.5734 0.4469 0.8781  2 Ti 1.94-1.95
O18 0.5734 0.5531 0.3781  2 Ti 1.94-1.95
O19 0.5763 0.2501 0.0769  1 Ti 2.00, 1 Sb 2.01
O20 0.5763 0.7499 0.5769  1 Ti 2.00, 1 Sb 2.01
O21 0.8206 0.2693 0.8209  1 Sb 1.99, 1 Ti 1.99
O22 0.8206 0.7307 0.3209  1 Sb 1.99, 1 Ti 1.99
O23 0.8232 0.4551 0.6228  1 Ti 1.99, 1 Sb 2.01
O24 0.8232 0.5449 0.1228  1 Ti 1.99, 1 Sb 2.01
O25 0.8287 0.0468 0.6284  2 Sb 2.02-2.03
O26 0.8287 0.9532 0.1284  2 Sb 2.02-2.03
O27 0.8691 0.2557 0.3709  3 Sm 2.24, 1 Na 2.31
O28 0.8691 0.7443 0.8709  3 Sm 2.24, 1 Na 2.31

Output
The value obtained for the energy above the most stable polymorph in this dataset is 0.0 meV/atom. The uncorrected formation energy comes out at -2.675 eV per atom. The calculation puts the volume at 12.845 Å³/atom. For the raw total energy, the calculation gives -7.627 eV per atom.

---

Record 2
A plane-wave DFT calculation with GGA-PBE was carried out for crystalline RbAlSn at its relaxed geometry.

Cell lengths 4.6377, 4.6377, 5.9616 Å; angles 90.00, 90.00, 120.00 degrees
With the nearest neighbours (Å) after each atom.
Fractional coordinates of all 3 atoms:
Rb1 0.0000 0.0000 0.0000  6 Sn 4.01, 6 Al 4.01
Al1 0.3333 0.6667 0.5000  3 Sn 2.68
Sn1 0.6667 0.3333 0.5000  3 Al 2.68

Output
The calculation puts the volume at 37.015 Å³/atom. The formation energy comes out at -0.10 eV per atom. For the raw total energy, the calculation gives -3.007 eV per atom.

---

Record 3
A plane-wave DFT calculation with GGA-PBE was carried out for crystalline La2Pu2Ru3 at its relaxed geometry.

Cell lengths 3.9185, 5.9209, 7.4704 Å; angles 98.16, 90.00, 109.31 degrees
With the nearest neighbours (Å) after each atom.
Fractional coordinates of all 7 atoms:
La1 0.1301 0.2614 0.3558  5 Ru 3.06-3.16, 1 Pu 3.41
La2 0.8699 0.7386 0.6442  5 Ru 3.06-3.16, 1 Pu 3.41
Pu1 0.1513 0.3022 0.8935  4 Ru 2.66-2.78
Pu2 0.8487 0.6978 0.1065  4 Ru 2.66-2.78
Ru1 0.4072 0.8148 0.3435  2 Pu 2.66, 2 Ru 2.88-2.91
Ru2 0.5000 0.0000 0.0000  4 Pu 2.78, 2 Ru 2.91
Ru3 0.5928 0.1852 0.6565  2 Pu 2.66, 2 Ru 2.88-2.91

Output
The calculation puts the volume at 23.101 Å³/atom. The formation energy comes out at -0.17 eV per atom. For the raw total energy, the calculation gives -9.651 eV per atom.

---

Record 4
A plane-wave DFT calculation with GGA-PBE was carried out for crystalline TlFeSn2 at its relaxed geometry.

Cell lengths 9.9600, 9.9600, 9.9600 Å; angles 19.40, 19.40, 19.40 degrees
With the nearest neighbours (Å) after each atom.
Fractional coordinates of all 4 atoms:
Tl1 0.0000 0.0000 0.0000  2 Sn 3.05, 6 Tl 3.36
Fe1 0.5000 0.5000 0.5000  6 Sn 2.67
Sn1 0.1041 0.1041 0.1041  3 Fe 2.67
Sn2 0.8959 0.8959 0.8959  3 Fe 2.67

Output
The value obtained for the energy above the most stable polymorph in this dataset is 0.0 meV/atom. The calculation puts the volume at 23.832 Å³/atom. The formation energy comes out at 0.22 eV per atom. For the raw total energy, the calculation gives -4.485 eV per atom.

---

Record 5
A plane-wave DFT calculation with GGA-PBE was carried out for crystalline CrCuHg3 at its relaxed geometry.

Cell lengths 5.3195, 5.3195, 5.3195 Å; angles 90.00, 90.00, 90.00 degrees
With the nearest neighbours (Å) after each atom.
Fractional coordinates of all 5 atoms:
Cr1 0.0000 0.0000 0.0000  6 Hg 2.66
Cu1 0.5000 0.5000 0.5000  12 Hg 3.76
Hg1 0.0000 0.0000 0.5000  2 Cr 2.66
Hg2 0.0000 0.5000 0.0000  2 Cr 2.66
Hg3 0.5000 0.0000 0.0000  2 Cr 2.66

Output
The value obtained for the energy above the most stable polymorph in this dataset is 201.5 meV/atom. The calculation puts the volume at 30.106 Å³/atom. The formation energy comes out at 0.81 eV per atom. For the raw total energy, the calculation gives -2.113 eV per atom.

---

Record 6
A plane-wave DFT calculation with GGA-PBE was carried out for crystalline CsScInTe3 at its relaxed geometry.

Cell lengths 9.8523, 4.1987, 11.9532 Å; angles 90.00, 111.78, 90.00 degrees
With the nearest neighbours (Å) after each atom.
Fractional coordinates of all 12 atoms:
Cs1 0.2230 0.2500 0.2766  7 Te 3.84-4.10, 1 In 4.04, 2 Cs 4.20
Cs2 0.7770 0.7500 0.7234  7 Te 3.84-4.10, 1 In 4.04, 2 Cs 4.20
Sc1 0.3688 0.7500 0.8500  6 Te 2.92-2.98
Sc2 0.6312 0.2500 0.1500  6 Te 2.92-2.98
In1 0.1221 0.2500 0.5748  3 Te 2.87-2.96, 2 In 3.19
In2 0.8779 0.7500 0.4252  3 Te 2.87-2.96, 2 In 3.19
Te1 0.1440 0.2500 0.8209  1 In 2.87, 2 Sc 2.98
Te2 0.3409 0.7500 0.5935  2 In 2.96, 1 Sc 2.98
Te3 0.4083 0.7500 0.1047  3 Sc 2.92-2.94
Te4 0.5917 0.2500 0.8953  3 Sc 2.92-2.94
Te5 0.6591 0.2500 0.4065  2 In 2.96, 1 Sc 2.98
Te6 0.8560 0.7500 0.1791  1 In 2.87, 2 Sc 2.98

Output
The uncorrected formation energy comes out at -0.923 eV per atom. The calculation puts the volume at 38.264 Å³/atom. For the raw total energy, the calculation gives -4.147 eV per atom.